Entry 1:
VASP calculation (PBE) on crystalline YNb2Te at its relaxed geometry.

Lattice parameters (Å, degrees): 6.9813 6.9813 6.9813 90.00 90.00 90.00
Closest atoms and distances in Å follow each position.
Element x y z (fractional)
Y1 0.0000 0.0000 0.0000  4 Nb 3.02, 4 Te 3.02
Y2 0.0000 0.5000 0.5000  4 Nb 3.02, 4 Te 3.02
Y3 0.5000 0.0000 0.5000  4 Nb 3.02, 4 Te 3.02
Y4 0.5000 0.5000 0.0000  4 Nb 3.02, 4 Te 3.02
Nb1 0.0000 0.0000 0.5000  4 Nb 3.02, 4 Te 3.02
Nb2 0.0000 0.5000 0.0000  4 Nb 3.02, 4 Te 3.02
Nb3 0.2500 0.2500 0.7500  4 Nb 3.02, 4 Y 3.02
Nb4 0.2500 0.7500 0.2500  4 Nb 3.02, 4 Y 3.02
Nb5 0.5000 0.0000 0.0000  4 Nb 3.02, 4 Te 3.02
Nb6 0.5000 0.5000 0.5000  4 Nb 3.02, 4 Te 3.02
Nb7 0.7500 0.2500 0.2500  4 Nb 3.02, 4 Y 3.02
Nb8 0.7500 0.7500 0.7500  4 Nb 3.02, 4 Y 3.02
Te1 0.2500 0.2500 0.2500  4 Nb 3.02, 4 Y 3.02
Te2 0.2500 0.7500 0.7500  4 Nb 3.02, 4 Y 3.02
Te3 0.7500 0.2500 0.7500  4 Nb 3.02, 4 Y 3.02
Te4 0.7500 0.7500 0.2500  4 Nb 3.02, 4 Y 3.02

Calculated values
total energy: -0.54129 Ry/atom



Entry 2:
VASP calculation (PBE) on crystalline YNbTe at its relaxed geometry.

Lattice parameters (Å, degrees): 7.1207 7.1207 7.1207 90.00 90.00 90.00
Closest atoms and distances in Å follow each position.
Element x y z (fractional)
Y1 0.0000 0.0000 0.0000  4 Te 3.08, 4 Nb 3.08
Y2 0.0000 0.5000 0.5000  4 Te 3.08, 4 Nb 3.08
Y3 0.5000 0.0000 0.5000  4 Te 3.08, 4 Nb 3.08
Y4 0.5000 0.5000 0.0000  4 Te 3.08, 4 Nb 3.08
Nb1 0.2500 0.2500 0.7500  4 Y 3.08
Nb2 0.2500 0.7500 0.2500  4 Y 3.08
Nb3 0.7500 0.2500 0.2500  4 Y 3.08
Nb4 0.7500 0.7500 0.7500  4 Y 3.08
Te1 0.2500 0.2500 0.2500  4 Y 3.08
Te2 0.2500 0.7500 0.7500  4 Y 3.08
Te3 0.7500 0.2500 0.7500  4 Y 3.08
Te4 0.7500 0.7500 0.2500  4 Y 3.08

Calculated values
energy above the most stable polymorph in this dataset: 617 meV/atom



Entry 3:
VASP calculation (PBE) on crystalline YNbTe at its relaxed geometry.

Lattice parameters (Å, degrees): 6.7812 6.7812 6.7812 90.00 90.00 90.00
Closest atoms and distances in Å follow each position.
Element x y z (fractional)
Y1 0.0000 0.0000 0.0000  4 Te 2.94
Y2 0.0000 0.5000 0.5000  4 Te 2.94
Y3 0.5000 0.0000 0.5000  4 Te 2.94
Y4 0.5000 0.5000 0.0000  4 Te 2.94
Nb1 0.0000 0.0000 0.5000  4 Te 2.94
Nb2 0.0000 0.5000 0.0000  4 Te 2.94
Nb3 0.5000 0.0000 0.0000  4 Te 2.94
Nb4 0.5000 0.5000 0.5000  4 Te 2.94
Te1 0.2500 0.2500 0.7500  4 Nb 2.94, 4 Y 2.94
Te2 0.2500 0.7500 0.2500  4 Nb 2.94, 4 Y 2.94
Te3 0.7500 0.2500 0.2500  4 Nb 2.94, 4 Y 2.94
Te4 0.7500 0.7500 0.7500  4 Nb 2.94, 4 Y 2.94

Calculated values
energy above the most stable polymorph in this dataset: 0 meV/atom



Entry 4:
VASP calculation (PBE) on crystalline Nb2ZnTe at its relaxed geometry.

Lattice parameters (Å, degrees): 6.6894 6.6894 6.6894 90.00 90.00 90.00
Closest atoms and distances in Å follow each position.
Element x y z (fractional)
Nb1 0.0000 0.0000 0.0000  4 Zn 2.90, 4 Nb 2.90
Nb2 0.0000 0.5000 0.5000  4 Zn 2.90, 4 Nb 2.90
Nb3 0.2500 0.2500 0.2500  4 Nb 2.90, 4 Te 2.90
Nb4 0.2500 0.7500 0.7500  4 Nb 2.90, 4 Te 2.90
Nb5 0.5000 0.0000 0.5000  4 Zn 2.90, 4 Nb 2.90
Nb6 0.5000 0.5000 0.0000  4 Zn 2.90, 4 Nb 2.90
Nb7 0.7500 0.2500 0.7500  4 Nb 2.90, 4 Te 2.90
Nb8 0.7500 0.7500 0.2500  4 Nb 2.90, 4 Te 2.90
Zn1 0.2500 0.2500 0.7500  4 Te 2.90, 4 Nb 2.90
Zn2 0.2500 0.7500 0.2500  4 Te 2.90, 4 Nb 2.90
Zn3 0.7500 0.2500 0.2500  4 Te 2.90, 4 Nb 2.90
Zn4 0.7500 0.7500 0.7500  4 Te 2.90, 4 Nb 2.90
Te1 0.0000 0.0000 0.5000  4 Nb 2.90, 4 Zn 2.90
Te2 0.0000 0.5000 0.0000  4 Nb 2.90, 4 Zn 2.90
Te3 0.5000 0.0000 0.0000  4 Nb 2.90, 4 Zn 2.90
Te4 0.5000 0.5000 0.5000  4 Nb 2.90, 4 Zn 2.90

Calculated values
total energy: -0.42732 Ry/atom



Entry 5:
VASP calculation (PBE) on crystalline NbZnTe2 at its relaxed geometry.

Lattice parameters (Å, degrees): 7.1263 7.1263 7.1263 90.00 90.00 90.00
Closest atoms and distances in Å follow each position.
Element x y z (fractional)
Nb1 0.0000 0.0000 0.0000  4 Zn 3.09, 4 Te 3.09
Nb2 0.0000 0.5000 0.5000  4 Zn 3.09, 4 Te 3.09
Nb3 0.5000 0.0000 0.5000  4 Zn 3.09, 4 Te 3.09
Nb4 0.5000 0.5000 0.0000  4 Zn 3.09, 4 Te 3.09
Zn1 0.2500 0.2500 0.2500  4 Nb 3.09, 4 Te 3.09
Zn2 0.2500 0.7500 0.7500  4 Te 3.09, 4 Nb 3.09
Zn3 0.7500 0.2500 0.7500  4 Te 3.09, 4 Nb 3.09
Zn4 0.7500 0.7500 0.2500  4 Te 3.09, 4 Nb 3.09
Te1 0.0000 0.0000 0.5000  4 Te 3.09, 4 Zn 3.09
Te2 0.0000 0.5000 0.0000  4 Te 3.09, 4 Zn 3.09
Te3 0.2500 0.2500 0.7500  4 Nb 3.09, 4 Te 3.09
Te4 0.2500 0.7500 0.2500  4 Nb 3.09, 4 Te 3.09
Te5 0.5000 0.0000 0.0000  4 Te 3.09, 4 Zn 3.09
Te6 0.5000 0.5000 0.5000  4 Te 3.09, 4 Zn 3.09
Te7 0.7500 0.2500 0.2500  4 Nb 3.09, 4 Te 3.09
Te8 0.7500 0.7500 0.7500  4 Nb 3.09, 4 Te 3.09

Calculated values
total energy: -0.28303 Ry/atom



Entry 6:
VASP calculation (PBE) on crystalline ZrNb2Te at its relaxed geometry.

Lattice parameters (Å, degrees): 6.8273 6.8273 6.8273 90.00 90.00 90.00
Closest atoms and distances in Å follow each position.
Element x y z (fractional)
Zr1 0.0000 0.0000 0.0000  4 Nb 2.96, 4 Te 2.96
Zr2 0.0000 0.5000 0.5000  4 Nb 2.96, 4 Te 2.96
Zr3 0.5000 0.0000 0.5000  4 Nb 2.96, 4 Te 2.96
Zr4 0.5000 0.5000 0.0000  4 Nb 2.96, 4 Te 2.96
Nb1 0.0000 0.0000 0.5000  4 Nb 2.96, 4 Te 2.96
Nb2 0.0000 0.5000 0.0000  4 Nb 2.96, 4 Te 2.96
Nb3 0.2500 0.2500 0.2500  4 Zr 2.96, 4 Nb 2.96
Nb4 0.2500 0.7500 0.7500  4 Zr 2.96, 4 Nb 2.96
Nb5 0.5000 0.0000 0.0000  4 Nb 2.96, 4 Te 2.96
Nb6 0.5000 0.5000 0.5000  4 Nb 2.96, 4 Te 2.96
Nb7 0.7500 0.2500 0.7500  4 Zr 2.96, 4 Nb 2.96
Nb8 0.7500 0.7500 0.2500  4 Zr 2.96, 4 Nb 2.96
Te1 0.2500 0.2500 0.7500  4 Zr 2.96, 4 Nb 2.96
Te2 0.2500 0.7500 0.2500  4 Zr 2.96, 4 Nb 2.96
Te3 0.7500 0.2500 0.2500  4 Zr 2.96, 4 Nb 2.96
Te4 0.7500 0.7500 0.7500  4 Zr 2.96, 4 Nb 2.96

Calculated values
total energy: -0.58158 Ry/atom



Entry 7:
VASP calculation (PBE) on crystalline ZrNbTe at its relaxed geometry.

Lattice parameters (Å, degrees): 6.5773 6.5773 6.5773 90.00 90.00 90.00
Closest atoms and distances in Å follow each position.
Element x y z (fractional)
Zr1 0.0000 0.0000 0.0000  4 Te 2.85
Zr2 0.0000 0.5000 0.5000  4 Te 2.85
Zr3 0.5000 0.0000 0.5000  4 Te 2.85
Zr4 0.5000 0.5000 0.0000  4 Te 2.85
Nb1 0.0000 0.0000 0.5000  4 Te 2.85
Nb2 0.0000 0.5000 0.0000  4 Te 2.85
Nb3 0.5000 0.0000 0.0000  4 Te 2.85
Nb4 0.5000 0.5000 0.5000  4 Te 2.85
Te1 0.2500 0.2500 0.7500  4 Zr 2.85, 4 Nb 2.85
Te2 0.2500 0.7500 0.2500  4 Zr 2.85, 4 Nb 2.85
Te3 0.7500 0.2500 0.2500  4 Zr 2.85, 4 Nb 2.85
Te4 0.7500 0.7500 0.7500  4 Zr 2.85, 4 Nb 2.85

Calculated values
energy above the most stable polymorph in this dataset: 0 meV/atom



Entry 8:
VASP calculation (PBE) on crystalline ThNb2 at its relaxed geometry.

Lattice parameters (Å, degrees): 8.4820 8.4820 8.4820 60.00 60.00 60.00
Closest atoms and distances in Å follow each position.
Element x y z (fractional)
Th1 0.1250 0.1250 0.1250  4 Nb 2.60
Th2 0.8750 0.8750 0.8750  4 Nb 2.60
Nb1 0.0000 0.0000 0.0000  2 Th 2.60
Nb2 0.0000 0.0000 0.5000  2 Th 2.60
Nb3 0.0000 0.5000 0.0000  2 Th 2.60
Nb4 0.5000 0.0000 0.0000  2 Th 2.60

Calculated values
E_form: 3.720 eV per atom



Let's list calculated volume in order: 340.3, 361.1, 311.8, 299.3, 361.9, 318.2, 284.5, 431.5 Å³/cell.